This record from the Alexandria database describes crystalline Ho2Sn4Hg at its relaxed geometry. The functional is GGA-PBE.

Its density of states at the Fermi level is 6.4 states/eV per cell. For the polymorph energy (0 for the lowest one), the calculation gives 0 meV/atom. The calculation puts the formation energy at -406.2 meV per atom.

The structure belongs to space group Cmmm (No. 65); the cell edges are 9.007, 9.220 and 4.580 Å and the angles 90.00°, 90.00° and 90.00°. The distinct sites, in fractional coordinates, are Ho at (0.000, 0.244, 0.000), Sn at (0.234, 0.500, 0.000), Sn at (0.250, 0.250, 0.500) and Hg at (0.000, 0.000, 0.500).